<a>
{
  "formula": "SrH4O3",
  "functional": "PBE",
  "state": "relaxed",
  "cell": [[3.9473, -0.0140, -0.0489], [-0.4087, 5.6002, 0.0026], [-0.4212, -0.0661, 7.8328]],
  "species": ["Sr", "Sr", "O", "O", "O", "O", "O", "O", "H", "H", "H", "H", "H", "H", "H", "H"],
  "frac_coords": [[0.9843, 0.3741, 0.3022], [0.9855, 0.6273, 0.7784], [0.4847, 0.9067, 0.6902], [0.4674, 0.4289, 0.9349], [0.4486, 0.1313, 0.1816], [0.9086, 0.7173, 0.0983], [0.5309, 0.5305, 0.4805], [0.0032, 0.2010, 0.6271], [0.3216, 0.9762, 0.1575], [0.4851, 0.3925, 0.5529], [0.7891, 0.0929, 0.6534], [0.4460, 0.2822, 0.0148], [0.2006, 0.0957, 0.6550], [0.7868, 0.8553, 0.1291], [0.6063, 0.5539, 0.0147], [0.4821, 0.8055, 0.5854]],
  "spacegroup": "P1, No. 1",
  "crystal_system": "triclinic",
  "n_ef_per_ev_atom": 0.000
}


<b>
{
  "formula": "SrH4O3",
  "functional": "PBE",
  "state": "relaxed",
  "cell": [[-0.0477, -0.5419, 3.6582], [3.0110, -5.3706, -0.7563], [5.8923, 3.2254, 0.5546]],
  "species": ["H", "H", "H", "H", "H", "H", "H", "H", "O", "O", "O", "O", "O", "O", "Sr", "Sr"],
  "frac_coords": [[0.7907, 0.8808, 0.3300], [0.2093, 0.1192, 0.8300], [0.5000, 0.2956, 0.5973], [0.2093, 0.8808, 0.3300], [0.5000, 0.0324, 0.1050], [0.5000, 0.7044, 0.0973], [0.5000, 0.9676, 0.6050], [0.7907, 0.1192, 0.8300], [0.5000, 0.0604, 0.2474], [0.0000, 0.2132, 0.8754], [0.5000, 0.4375, 0.5346], [0.0000, 0.7868, 0.3754], [0.5000, 0.5625, 0.0346], [0.5000, 0.9396, 0.7474], [0.0000, 0.6290, 0.7492], [0.0000, 0.3710, 0.2492]],
  "spacegroup": "Pmc2_1, No. 26",
  "crystal_system": "orthorhombic",
  "n_ef_per_ev_atom": 0.000
}


<c>
{
  "formula": "SrH4O3",
  "functional": "PBE",
  "state": "relaxed",
  "cell": [[-0.0590, 0.2288, 3.7118], [-5.8884, -1.9916, 0.0261], [2.2462, -6.3742, 0.4302]],
  "species": ["H", "H", "H", "H", "H", "H", "H", "H", "O", "O", "O", "O", "O", "O", "Sr", "Sr"],
  "frac_coords": [[0.5049, 0.3706, 0.0535], [0.5050, 0.0008, 0.8819], [0.7963, 0.8609, 0.6759], [0.2142, 0.8613, 0.6759], [0.5049, 0.9553, 0.4165], [0.7968, 0.0894, 0.1852], [0.5050, 0.2806, 0.4097], [0.2135, 0.0893, 0.1852], [0.0053, 0.1799, 0.1341], [0.5054, 0.5120, 0.9924], [0.5053, 0.9248, 0.2745], [0.0054, 0.7652, 0.6362], [0.5052, 0.0515, 0.7461], [0.5052, 0.4251, 0.4677], [0.0052, 0.6218, 0.2602], [0.0054, 0.3600, 0.7502]],
  "spacegroup": "Pm, No. 6",
  "crystal_system": "monoclinic",
  "n_ef_per_ev_atom": 0.000
}


Of the structures shown above, <b> is the most stable.